Entry 1:
Compound: ZnSe2Cl
Source: Alexandria
Functional: PBE
Structure: optimized geometry

The structure in POSCAR format:
```
ZnSe2Cl
1.0
3.4965 0.0000 0.0000
0.0000 3.4965 0.0000
0.0000 0.0000 6.9378
Se Zn Cl
2 1 1
Direct
0.0000 0.0000 0.0702
0.0000 0.0000 0.4298
0.5000 0.5000 0.2500
0.5000 0.5000 0.7500
```

Properties
* E_tot: -2.46 eV/atom
* magnetization: 0.00 Bohr magnetons per cell
* ΔE_f (raw): 0.06 eV per atom

***

Entry 2:
Compound: Nd2AlZnNi6
Source: Alexandria
Functional: PBE
Structure: optimized geometry

The structure in POSCAR format:
```
Nd2AlZnNi6
1.0
6.2241 -0.3917 -1.1763
-0.3177 6.1928 1.1183
2.1463 3.7172 4.6124
Ni Zn Nd Al
6 1 2 1
Direct
0.9266 0.7499 0.8242
0.2325 0.7340 0.0069
0.2322 0.2389 0.5017
0.7678 0.7611 0.4983
0.7675 0.2660 0.9932
0.0734 0.2501 0.1758
0.5000 0.5000 0.0000
0.6944 0.2455 0.5509
0.3056 0.7545 0.4491
0.0000 0.0000 0.0000
```

Properties
* E_tot: -5.25 eV/atom
* magnetization: 0.00 Bohr magnetons per cell
* energy of formation from the pure elements: -0.323 eV per atom

***

Entry 3:
Compound: ScTi3Ni
Source: Alexandria
Functional: PBE
Structure: optimized geometry

The structure in POSCAR format:
```
ScTi3Ni
1.0
-3.6064 1.3879 -2.5000
1.9276 -1.7920 -3.7756
-2.1120 -4.0056 0.8229
Ti Ni Sc
3 1 1
Direct
0.0000 0.0000 0.5000
0.0000 0.5000 0.0000
0.5000 0.0000 0.0000
0.0000 0.0000 0.0000
0.5000 0.5000 0.5000
```

Properties
* E_tot: -6.90 eV/atom
* magnetization: 0.00 Bohr magnetons per cell
* energy of formation from the pure elements: 0.255 eV per atom

***

Entry 4:
Compound: La3YSb3
Source: Alexandria
Functional: PBE
Structure: optimized geometry

The structure in POSCAR format:
```
La3YSb3
1.0
9.5893 0.0000 0.0000
0.0000 9.5893 0.0000
0.0000 0.0000 9.5893
Sb La Y
12 12 4
Direct
0.1308 0.5019 0.2429
0.5019 0.2429 0.1308
0.6308 0.9981 0.7571
0.0019 0.2571 0.8692
0.8692 0.0019 0.2571
0.7571 0.6308 0.9981
0.7429 0.3692 0.4981
0.2429 0.1308 0.5019
0.4981 0.7429 0.3692
0.2571 0.8692 0.0019
0.3692 0.4981 0.7429
0.9981 0.7571 0.6308
0.4334 0.5666 0.0666
0.3218 0.8218 0.6782
0.6765 0.6765 0.6765
0.1782 0.1782 0.1782
0.9334 0.9334 0.9334
0.3235 0.1765 0.8235
0.5666 0.0666 0.4334
0.0666 0.4334 0.5666
0.1765 0.8235 0.3235
0.8235 0.3235 0.1765
0.8218 0.6782 0.3218
0.6782 0.3218 0.8218
0.5712 0.9288 0.0712
0.4288 0.4288 0.4288
0.0712 0.5712 0.9288
0.9288 0.0712 0.5712
```

Properties
* E_tot: -5.90 eV/atom
* magnetization: 0.00 Bohr magnetons per cell
* ΔE_f (raw): -1.10 eV per atom

***

Entry 5:
Compound: MgTaNiIr
Source: Alexandria
Functional: PBE
Structure: optimized geometry

The structure in POSCAR format:
```
MgTaNiIr
1.0
4.4022 0.0000 0.0000
2.2011 3.8124 0.0000
2.2011 1.2708 3.5944
Ta Mg Ni Ir
1 1 1 1
Direct
0.0000 0.0000 0.0000
0.5000 0.5000 0.5000
0.2500 0.2500 0.2500
0.7500 0.7500 0.7500
```

Properties
* E_tot: -7.43 eV/atom
* magnetization: 0.00 Bohr magnetons per cell
* energy of formation from the pure elements: -0.406 eV per atom

***

Entry 6:
Compound: V4CrRu5
Source: Alexandria
Functional: PBE
Structure: optimized geometry

The structure in POSCAR format:
```
V4CrRu5
1.0
3.0124 0.0000 0.0000
0.0000 3.0124 0.0000
0.0000 0.0000 15.0750
V Ru Cr
4 5 1
Direct
0.0000 0.0000 0.1962
0.0000 0.0000 0.6015
0.0000 0.0000 0.3985
0.0000 0.0000 0.8038
0.5000 0.5000 0.8951
0.5000 0.5000 0.5000
0.5000 0.5000 0.6989
0.5000 0.5000 0.3011
0.5000 0.5000 0.1049
0.0000 0.0000 0.0000
```

Properties
* E_tot: -9.42 eV/atom
* magnetization: 4.46 Bohr magnetons per cell
* energy of formation from the pure elements: -0.168 eV per atom

***

Entry 7:
Compound: ZnBi2Pd8
Source: Alexandria
Functional: PBE
Structure: optimized geometry

The structure in POSCAR format:
```
ZnBi2Pd8
1.0
4.2284 0.0000 0.0000
0.0000 6.3195 0.2241
-2.1142 -2.4755 7.0082
Pd Bi Zn
8 2 1
Direct
0.1448 0.1942 0.2895
0.6673 0.9185 0.3345
0.4173 0.5601 0.8347
0.9668 0.2531 0.9336
0.3327 0.0815 0.6655
0.0332 0.7469 0.0664
0.5827 0.4399 0.1653
0.8552 0.8058 0.7105
0.2050 0.6634 0.4101
0.7950 0.3366 0.5899
0.5000 0.0000 0.0000
```

Properties
* E_tot: -4.85 eV/atom
* magnetization: 0.00 Bohr magnetons per cell
* energy of formation from the pure elements: -0.257 eV per atom

***

Entry 8:
Compound: BaH2SeN
Source: Alexandria
Functional: PBE
Structure: optimized geometry

The structure in POSCAR format:
```
BaH2SeN
1.0
6.9277 0.0000 0.0000
0.0000 6.9277 0.0000
-3.4639 -3.4639 5.4027
H Ba Se N
4 2 2 2
Direct
0.0245 0.1947 0.7192
0.5245 0.0245 0.7192
0.6947 0.5245 0.7192
0.1947 0.6947 0.7192
0.8132 0.8132 0.6263
0.3132 0.3132 0.6263
0.4066 0.9066 0.8132
0.9066 0.4066 0.8132
0.5613 0.5613 0.1226
0.0613 0.0613 0.1226
```

Properties
* E_tot: -3.53 eV/atom
* magnetization: 3.21 Bohr magnetons per cell

***

Entry 9:
Compound: ScMo2Pb
Source: Alexandria
Functional: PBE
Structure: optimized geometry

The structure in POSCAR format:
```
ScMo2Pb
1.0
-0.1728 1.9289 2.6024
-2.9874 -1.1024 0.6187
2.9455 -5.5596 4.3164
Pb Mo Sc
1 2 1
Direct
0.0000 0.0000 0.4757
0.5000 0.5000 0.2027
0.0000 0.0000 0.0265
0.5000 0.5000 0.7952
```

Properties
* E_tot: -7.83 eV/atom
* magnetization: 0.00 Bohr magnetons per cell
* energy of formation from the pure elements: 0.096 eV per atom

***

Entry 10:
Compound: RbCd2As
Source: Alexandria
Functional: PBE
Structure: optimized geometry

The structure in POSCAR format:
```
RbCd2As
1.0
-5.8841 2.7491 6.2742
1.6219 -7.4768 4.7971
0.4131 -0.7381 7.2093
Cd As Rb
4 2 2
Direct
0.8750 0.7715 0.7500
0.2285 0.6250 0.2500
0.3750 0.4785 0.7500
0.5215 0.1250 0.2500
0.5000 0.5000 0.0000
0.2500 0.7500 0.5000
0.0000 0.0000 0.0000
0.7500 0.2500 0.5000
```

Properties
* E_tot: -1.89 eV/atom
* magnetization: 0.00 Bohr magnetons per cell
* energy of formation from the pure elements: -0.027 eV per atom

***

Entry 11:
Compound: SrCd3AgAu
Source: Alexandria
Functional: PBE
Structure: optimized geometry

The structure in POSCAR format:
```
SrCd3AgAu
1.0
6.0364 0.0000 0.0000
0.0000 7.3208 0.0000
0.0000 -3.6604 6.9692
Cd Sr Ag Au
6 2 2 2
Direct
0.5000 0.3026 0.0000
0.7500 0.8550 0.7100
0.0000 0.6974 0.0000
0.0000 0.3026 0.0000
0.5000 0.6974 0.0000
0.2500 0.1450 0.2900
0.7500 0.2823 0.5646
0.2500 0.7177 0.4354
0.7500 0.0617 0.1235
0.2500 0.9383 0.8765
0.7500 0.6540 0.3080
0.2500 0.3460 0.6920
```

Properties
* E_tot: -1.96 eV/atom
* magnetization: 0.00 Bohr magnetons per cell
* energy of formation from the pure elements: -0.204 eV per atom

***

Entry 12:
Compound: PrMgGeAu
Source: Alexandria
Functional: PBE
Structure: optimized geometry

The structure in POSCAR format:
```
PrMgGeAu
1.0
-4.8898 1.0662 0.6375
-3.4396 -3.6815 -0.2624
-2.3902 -1.5213 4.1744
Pr Mg Au Ge
1 1 1 1
Direct
0.7500 0.7500 0.7500
0.2500 0.2500 0.2500
0.5000 0.5000 0.5000
0.0000 0.0000 0.0000
```

Properties
* E_tot: -4.17 eV/atom
* magnetization: 0.00 Bohr magnetons per cell
* energy of formation from the pure elements: -0.604 eV per atom